No. 1
VASP calculation (GGA-PBE) on an optimized crystal structure of Pa3Ga2Cu.

```
Pa3Ga2Cu
1.0
-1.0016 0.2632 -5.2817
-5.2739 -4.2909 0.7863
-2.8909 6.1446 0.8544
Cu Pa Ga
2 6 4
Direct
0.7500 0.3483 0.6517
0.2500 0.6517 0.3483
0.7500 0.6056 0.0616
0.2500 0.3944 0.9384
0.2500 0.0616 0.6056
0.7500 0.9384 0.3944
0.7500 0.0771 0.9229
0.2500 0.9229 0.0771
0.0000 0.6768 0.6768
0.0000 0.3232 0.3232
0.5000 0.3232 0.3232
0.5000 0.6768 0.6768
```

Properties
total moment	0.00	μB/f.u.
SG	No. 63
formation energy	-0.126	eV per atom

=====

No. 2
VASP calculation (GGA-PBE) on an optimized crystal structure of PaGa4Cu2Pd.

```
PaGa4Cu2Pd
1.0
4.2320 0.0000 0.0000
2.1160 3.6650 0.0000
2.1160 1.2217 8.6246
Pa Ga Cu Pd
1 4 2 1
Direct
0.0000 0.0000 0.0000
0.3981 0.3981 0.8056
0.8746 0.8746 0.3761
0.6019 0.6019 0.1944
0.1254 0.1254 0.6239
0.7522 0.7522 0.7434
0.2478 0.2478 0.2566
0.5000 0.5000 0.5000
```

Properties
total moment	0.00	μB/f.u.
SG	No. 166
formation energy	-0.282	eV per atom

=====

No. 3
VASP calculation (GGA-PBE) on an optimized crystal structure of PaGaCuPd.

```
PaGaCuPd
1.0
-2.8148 3.5160 1.2968
-0.6141 0.9551 4.5473
1.8241 3.9049 1.8415
Cu Pa Pd Ga
1 1 1 1
Direct
0.2500 0.2500 0.2500
0.0000 0.0000 0.0000
0.7500 0.7500 0.7500
0.5000 0.5000 0.5000
```

Properties
total moment	0.00	μB/f.u.
SG	No. 216
formation energy	-0.353	eV per atom

=====

No. 4
VASP calculation (GGA-PBE) on an optimized crystal structure of PaGa4CuPd2.

```
PaGa4CuPd2
1.0
-3.0096 0.9697 2.9429
-1.5823 -3.0901 2.5702
4.4795 0.8903 7.4578
Ga Pa Cu Pd
4 1 1 2
Direct
0.6035 0.6035 0.1894
0.1283 0.1283 0.6152
0.8717 0.8717 0.3848
0.3965 0.3965 0.8106
0.0000 0.0000 0.0000
0.5000 0.5000 0.5000
0.7616 0.7616 0.7151
0.2384 0.2384 0.2849
```

Properties
total moment	0.00	μB/f.u.
SG	No. 166
formation energy	-0.396	eV per atom

=====

No. 5
VASP calculation (GGA-PBE) on an optimized crystal structure of Pa2Ga4CuPd3.

```
Pa2Ga4CuPd3
1.0
4.1827 0.0000 0.0000
0.0000 4.1827 0.0000
0.0000 0.0000 10.4629
Pd Ga Pa Cu
3 4 2 1
Direct
0.0000 0.5000 0.1390
0.0000 0.0000 0.5000
0.5000 0.0000 0.8610
0.0000 0.5000 0.3722
0.5000 0.0000 0.6278
0.5000 0.5000 0.0000
0.0000 0.0000 0.0000
0.0000 0.5000 0.7463
0.5000 0.0000 0.2537
0.5000 0.5000 0.5000
```

Properties
total moment	0.00	μB/f.u.
SG	No. 115
formation energy	-0.497	eV per atom

=====

No. 6
VASP calculation (GGA-PBE) on an optimized crystal structure of PaGaCuRh.

```
PaGaCuRh
1.0
4.6489 0.0000 0.0000
2.3244 4.0260 0.0000
2.3244 1.3420 3.7958
Cu Ga Rh Pa
1 1 1 1
Direct
0.2500 0.2500 0.2500
0.5000 0.5000 0.5000
0.7500 0.7500 0.7500
0.0000 0.0000 0.0000
```

Properties
total moment	0.00	μB/f.u.
SG	No. 216
formation energy	-0.375	eV per atom

=====

No. 7
VASP calculation (GGA-PBE) on an optimized crystal structure of ScPaGa2Cu2.

```
ScPaGa2Cu2
1.0
-3.0637 2.3837 -1.7985
-0.8155 -4.0508 1.1087
-2.0020 2.0972 6.1899
Sc Pa Cu Ga
1 1 2 2
Direct
0.0000 0.0000 0.5000
0.0000 0.0000 0.0000
0.6667 0.3333 0.7160
0.3333 0.6667 0.2840
0.6667 0.3333 0.2598
0.3333 0.6667 0.7402
```

Properties
total moment	0.00	μB/f.u.
SG	No. 164
formation energy	-0.353	eV per atom

=====

No. 8
VASP calculation (GGA-PBE) on an optimized crystal structure of ScPaGaCu.

```
ScPaGaCu
1.0
4.8418 0.0000 0.0000
2.4209 4.1932 0.0000
2.4209 1.3977 3.9533
Ga Pa Cu Sc
1 1 1 1
Direct
0.7500 0.7500 0.7500
0.5000 0.5000 0.5000
0.2500 0.2500 0.2500
0.0000 0.0000 0.0000
```

Properties
total moment	0.00	μB/f.u.
SG	No. 216
formation energy	-0.155	eV per atom

=====

Let's list uncorrected energy in order: -0.4826; -0.3422; -0.4268; -0.3606; -0.4097; -0.4680; -0.3943; -0.4331 Ry/atom.